No. 1
# La6Tb3Nd | Alexandria | PBE | optimized geometry
# calculated formation energy	11.5	kJ per mole of atoms
# Fermi-level density of states	14.4	states/eV/f.u.
data_La6Tb3Nd
_chemical_formula_sum 'La24 Tb12 Nd4'
_cell_length_a 10.9181
_cell_length_b 19.7058
_cell_length_c 6.5224
_cell_angle_alpha 90.00
_cell_angle_beta 90.00
_cell_angle_gamma 90.00
_space_group_name_H-M_alt 'C m c 21'
_space_group_IT_number 36
loop_
_space_group_symop_operation_xyz
'x,y,z'
'-x,-y,z+1/2'
'-x,y,z'
'x,-y,z+1/2'
'x+1/2,y+1/2,z'
'-x+1/2,-y+1/2,z+1/2'
'-x+1/2,y+1/2,z'
'x+1/2,-y+1/2,z+1/2'
loop_
_atom_site_label
_atom_site_type_symbol
_atom_site_fract_x
_atom_site_fract_y
_atom_site_fract_z
La1 La 0.0000 0.0301 0.0000
La2 La 0.0000 0.2866 0.7996
La3 La 0.1732 0.4603 0.6868
La4 La 0.2224 0.2910 0.5020
Tb1 Tb 0.0000 0.3853 0.2276
Tb2 Tb 0.1724 0.1184 0.6035
Nd1 Nd 0.0000 0.1845 0.2212

No. 2
# TlTePd | Alexandria | PBE | optimized geometry
# energy	-3.880	eV/atom
# Fermi-level density of states	1.1	states/eV/f.u.
data_TlTePd
_chemical_formula_sum 'Tl4 Te4 Pd4'
_cell_length_a 12.6958
_cell_length_b 4.1042
_cell_length_c 6.5792
_cell_angle_alpha 90.00
_cell_angle_beta 91.45
_cell_angle_gamma 90.00
_space_group_name_H-M_alt 'C 1 2/m 1'
_space_group_IT_number 12
loop_
_space_group_symop_operation_xyz
'x,y,z'
'-x,-y,-z'
'-x,y,-z'
'x,-y,z'
'x+1/2,y+1/2,z'
'-x+1/2,-y+1/2,-z'
'-x+1/2,y+1/2,-z'
'x+1/2,-y+1/2,z'
loop_
_atom_site_label
_atom_site_type_symbol
_atom_site_fract_x
_atom_site_fract_y
_atom_site_fract_z
Tl1 Tl 0.1447 0.0000 0.3603
Te1 Te 0.1085 0.5000 0.8466
Pd1 Pd 0.0000 0.0000 0.0000
Pd2 Pd 0.0000 0.5000 0.5000

What did the first record say?
# La6Tb3Nd | Alexandria | PBE | optimized geometry
# calculated formation energy	11.5	kJ per mole of atoms
# Fermi-level density of states	14.4	states/eV/f.u.
data_La6Tb3Nd
_chemical_formula_sum 'La24 Tb12 Nd4'
_cell_length_a 10.9181
_cell_length_b 19.7058
_cell_length_c 6.5224
_cell_angle_alpha 90.00
_cell_angle_beta 90.00
_cell_angle_gamma 90.00
_space_group_name_H-M_alt 'C m c 21'
_space_group_IT_number 36
loop_
_space_group_symop_operation_xyz
'x,y,z'
'-x,-y,z+1/2'
'-x,y,z'
'x,-y,z+1/2'
'x+1/2,y+1/2,z'
'-x+1/2,-y+1/2,z+1/2'
'-x+1/2,y+1/2,z'
'x+1/2,-y+1/2,z+1/2'
loop_
_atom_site_label
_atom_site_type_symbol
_atom_site_fract_x
_atom_site_fract_y
_atom_site_fract_z
La1 La 0.0000 0.0301 0.0000
La2 La 0.0000 0.2866 0.7996
La3 La 0.1732 0.4603 0.6868
La4 La 0.2224 0.2910 0.5020
Tb1 Tb 0.0000 0.3853 0.2276
Tb2 Tb 0.1724 0.1184 0.6035
Nd1 Nd 0.0000 0.1845 0.2212

Question: Which of these has the lowest Fermi-level density of states?
Answer: TlTePd

Question: Number 2 is which compound?
Answer: TlTePd